1.
The following is a DFT calculation (GGA-PBEsol) of a geometry-optimized K5Tc structure.

Values from the calculation:
SG = Cm
Total magnetic moment = 3.0 μB/cell
Fermi-level density of states = 1.26 states/eV per atom

```
K5Tc
1.0
7.657 -1.930 0.000
7.657 1.930 0.000
-4.697 0.000 10.341
K Tc
5 1
Direct
0.000 0.000 0.000
0.036 0.036 0.387
0.287 0.287 0.143
0.324 0.324 0.530
0.662 0.662 0.765
0.662 0.662 0.265
```



2.
The following is a DFT calculation (GGA-PBEsol) of a geometry-optimized K5Tc structure.

Values from the calculation:
SG = Amm2
Total magnetic moment = 3.2 μB/cell
Fermi-level density of states = 1.20 states/eV per atom

```
K5Tc
1.0
6.522 0.000 0.000
0.000 1.904 11.794
0.000 -1.904 11.794
K Tc
5 1
Direct
0.000 0.000 0.000
0.000 0.265 0.265
0.500 0.187 0.187
0.500 0.552 0.552
0.500 0.873 0.873
0.000 0.632 0.632
```



Least stable: 2



1.
The following is a DFT calculation (GGA-PBEsol) of a geometry-optimized KZrTc2 structure.

Values from the calculation:
SG = R-3m
Total magnetic moment = 0.0 μB/cell
Fermi-level density of states = 1.14 states/eV per atom

```
KZrTc2
1.0
1.402 0.809 10.798
-1.402 0.809 10.798
0.000 -1.619 10.798
K Zr Tc
1 1 2
Direct
0.000 0.000 0.000
0.500 0.500 0.500
0.243 0.243 0.243
0.757 0.757 0.757
```



2.
The following is a DFT calculation (GGA-PBEsol) of a geometry-optimized KZrTc2 structure.

Values from the calculation:
SG = P4mm
Total magnetic moment = 0.6 μB/cell
Fermi-level density of states = 1.12 states/eV per atom

```
KZrTc2
1.0
3.032 0.000 0.000
0.000 3.032 0.000
0.000 0.000 9.588
K Zr Tc
1 1 2
Direct
0.000 0.000 0.000
0.500 0.500 0.627
0.000 0.000 0.427
0.500 0.500 0.291
```



Least stable: 1



1.
The following is a DFT calculation (GGA-PBEsol) of a geometry-optimized KZrTc2 structure.

Values from the calculation:
SG = P2/m
Total magnetic moment = 0.0 μB/cell
Fermi-level density of states = 0.89 states/eV per atom

```
KZrTc2
1.0
3.037 0.000 0.000
0.000 4.297 0.000
-0.119 0.000 7.482
K Zr Tc
1 1 2
Direct
0.000 0.000 0.000
0.000 0.000 0.500
0.494 0.500 0.355
0.506 0.500 0.645
```



2.
The following is a DFT calculation (GGA-PBEsol) of a geometry-optimized KZrTc2 structure.

Values from the calculation:
SG = Cmm2
Total magnetic moment = 0.0 μB/cell
Fermi-level density of states = 0.90 states/eV per atom

```
KZrTc2
1.0
1.583 -2.355 0.000
1.583 2.355 0.000
0.000 0.000 10.567
K Zr Tc
1 1 2
Direct
0.000 0.000 0.000
0.500 0.500 0.668
0.000 0.000 0.457
0.500 0.500 0.273
```



3.
The following is a DFT calculation (GGA-PBEsol) of a geometry-optimized KZrTc2 structure.

Values from the calculation:
SG = Cmmm
Total magnetic moment = 0.0 μB/cell
Fermi-level density of states = 0.72 states/eV per atom

```
KZrTc2
1.0
1.597 -2.356 0.000
1.597 2.356 0.000
0.000 0.000 10.023
K Zr Tc
1 1 2
Direct
0.000 0.000 0.000
0.000 0.000 0.500
0.500 0.500 0.287
0.500 0.500 0.713
```



Least stable: 2



1.
The following is a DFT calculation (GGA-PBEsol) of a geometry-optimized KTe2 structure.

Values from the calculation:
SG = I4/mcm
Total magnetic moment = 0.0 μB/cell
Fermi-level density of states = 0.33 states/eV per atom

```
KTe2
1.0
-3.124 3.124 5.471
3.124 -3.124 5.471
3.124 3.124 -5.471
K Te
2 4
Direct
0.250 0.250 0.000
0.750 0.750 0.000
0.168 0.668 0.837
0.332 0.168 0.500
0.668 0.832 0.500
0.832 0.332 0.163
```



2.
The following is a DFT calculation (GGA-PBEsol) of a geometry-optimized KTe2 structure.

Values from the calculation:
SG = C2/m
Total magnetic moment = 0.0 μB/cell
Fermi-level density of states = 0.01 states/eV per atom

```
KTe2
1.0
5.613 -2.826 0.000
5.613 2.826 0.000
-1.643 0.000 7.620
K Te
2 4
Direct
0.077 0.077 0.296
0.923 0.923 0.704
0.285 0.285 0.986
0.389 0.389 0.352
0.611 0.611 0.648
0.715 0.715 0.014
```



3.
The following is a DFT calculation (GGA-PBEsol) of a geometry-optimized KTe2 structure.

Values from the calculation:
SG = Cm
Total magnetic moment = 0.0 μB/cell
Fermi-level density of states = 0.05 states/eV per atom

```
KTe2
1.0
5.930 -2.193 0.000
5.930 2.193 0.000
-4.908 0.000 8.696
K Te
2 4
Direct
0.000 0.000 0.000
0.246 0.246 0.601
0.291 0.291 0.043
0.643 0.643 0.809
0.673 0.673 0.308
0.899 0.899 0.289
```



4.
The following is a DFT calculation (GGA-PBEsol) of a geometry-optimized KTe2 structure.

Values from the calculation:
SG = P6_3/mmc
Total magnetic moment = 0.0 μB/cell
Fermi-level density of states = 0.77 states/eV per atom

```
KTe2
1.0
5.227 0.000 0.000
-2.614 4.527 0.000
0.000 0.000 9.350
K Te
2 4
Direct
0.000 0.000 0.250
0.000 0.000 0.750
0.333 0.667 0.019
0.333 0.667 0.481
0.667 0.333 0.519
0.667 0.333 0.981
```



Least stable: 4



1.
The following is a DFT calculation (GGA-PBEsol) of a geometry-optimized KTe3 structure.

Values from the calculation:
SG = Pmm2
Total magnetic moment = 0.0 μB/cell
Fermi-level density of states = 0.52 states/eV per atom

```
KTe3
1.0
3.525 0.000 0.000
0.000 5.912 0.000
0.000 0.000 5.990
K Te
1 3
Direct
0.000 0.000 0.000
0.000 0.500 0.418
0.500 0.000 0.502
0.500 0.500 0.027
```



2.
The following is a DFT calculation (GGA-PBEsol) of a geometry-optimized KTe3 structure.

Values from the calculation:
SG = Cmmm
Total magnetic moment = 0.0 μB/cell
Fermi-level density of states = 0.60 states/eV per atom

```
KTe3
1.0
3.349 -4.143 0.000
3.349 4.143 0.000
0.000 0.000 4.246
K Te
1 3
Direct
0.000 0.000 0.000
0.000 0.500 0.500
0.500 0.000 0.500
0.500 0.500 0.000
```



Least stable: 1



1.
The following is a DFT calculation (GGA-PBEsol) of a geometry-optimized KTlTe structure.

Values from the calculation:
SG = P3m1
Total magnetic moment = 0.0 μB/cell
Fermi-level density of states = 0.00 states/eV per atom

```
KTlTe
1.0
4.771 0.000 0.000
-2.385 4.132 0.000
0.000 0.000 5.727
K Tl Te
1 1 1
Direct
0.000 0.000 0.000
0.667 0.333 0.395
0.333 0.667 0.652
```



2.
The following is a DFT calculation (GGA-PBEsol) of a geometry-optimized KTlTe structure.

Values from the calculation:
SG = I4mm
Total magnetic moment = 0.0 μB/cell

```
KTlTe
1.0
-2.109 2.109 5.664
2.109 -2.109 5.664
2.109 2.109 -5.664
K Tl Te
1 1 1
Direct
0.000 0.000 0.000
0.304 0.304 0.000
0.681 0.681 0.000
```



3.
The following is a DFT calculation (GGA-PBEsol) of a geometry-optimized KTlTe structure.

Values from the calculation:
SG = F-43m
Total magnetic moment = 0.0 μB/cell

```
KTlTe
1.0
0.000 3.957 3.957
3.957 0.000 3.957
3.957 3.957 0.000
K Tl Te
1 1 1
Direct
0.000 0.000 0.000
0.500 0.500 0.500
0.250 0.250 0.250
```



Least stable: 2



1.
The following is a DFT calculation (GGA-PBEsol) of a geometry-optimized K2ZnTe structure.

Values from the calculation:
SG = P4/mmm
Total magnetic moment = 0.0 μB/cell
Fermi-level density of states = 0.11 states/eV per atom

```
K2ZnTe
1.0
5.384 0.000 0.000
0.000 5.384 0.000
0.000 0.000 4.569
K Zn Te
2 1 1
Direct
0.000 0.500 0.000
0.500 0.000 0.000
0.000 0.000 0.500
0.500 0.500 0.500
```



2.
The following is a DFT calculation (GGA-PBEsol) of a geometry-optimized K2ZnTe structure.

Values from the calculation:
SG = Cm
Total magnetic moment = 0.0 μB/cell
Fermi-level density of states = 0.01 states/eV per atom

```
K2ZnTe
1.0
6.455 -2.126 0.000
6.455 2.126 0.000
-2.210 0.000 4.878
K Zn Te
2 1 1
Direct
0.000 0.000 0.000
0.198 0.198 0.697
0.765 0.765 0.264
0.430 0.430 0.431
```



Least stable: 1



1.
The following is a DFT calculation (GGA-PBEsol) of a geometry-optimized K3YTi structure.

Values from the calculation:
SG = Pm-3m
Total magnetic moment = 3.2 μB/cell
Fermi-level density of states = 1.19 states/eV per atom

```
K3YTi
1.0
6.301 0.000 0.000
0.000 6.301 0.000
0.000 0.000 6.301
K Y Ti
3 1 1
Direct
0.000 0.000 0.500
0.000 0.500 0.000
0.500 0.000 0.000
0.500 0.500 0.500
0.000 0.000 0.000
```



2.
The following is a DFT calculation (GGA-PBEsol) of a geometry-optimized K3YTi structure.

Values from the calculation:
SG = Pm-3m
Total magnetic moment = 6.0 μB/cell
Fermi-level density of states = 2.03 states/eV per atom

```
K3YTi
1.0
6.666 0.000 0.000
0.000 6.666 0.000
0.000 0.000 6.666
K Y Ti
3 1 1
Direct
0.000 0.000 0.500
0.000 0.500 0.000
0.500 0.000 0.000
0.000 0.000 0.000
0.500 0.500 0.500
```



Least stable: 2